(1)
# Co2AgSb, relaxed, DFT PBE
data_Co2AgSb
_space_group_name_H-M_alt 'C 1 2/m 1'
_space_group_IT_number 12
_space_group_name_Hall '-C 2y'
_cell_length_a 8.196
_cell_length_b 3.072
_cell_length_c 5.108
_cell_angle_alpha 90.00
_cell_angle_beta 103.06
_cell_angle_gamma 90.00
loop_
_atom_site_label
_atom_site_type_symbol
_atom_site_fract_x
_atom_site_fract_y
_atom_site_fract_z
Co1 Co 0.243 0.000 0.217
Ag1 Ag 0.000 0.000 0.500
Sb1 Sb 0.000 0.500 0.000
# Total energy, eV/atom: -4.902
# Uncorrected formation energy, eV per atom: 0.39
# Crystal system: monoclinic


(2)
# TiNb6Rh, relaxed, DFT PBE
data_TiNb6Rh
_space_group_name_H-M_alt 'C m m m'
_space_group_IT_number 65
_space_group_name_Hall '-C 2 2'
_cell_length_a 6.573
_cell_length_b 9.183
_cell_length_c 4.632
_cell_angle_alpha 90.00
_cell_angle_beta 90.00
_cell_angle_gamma 90.00
loop_
_atom_site_label
_atom_site_type_symbol
_atom_site_fract_x
_atom_site_fract_y
_atom_site_fract_z
Ti1 Ti 0.000 0.000 0.000
Nb1 Nb 0.000 0.246 0.500
Nb2 Nb 0.248 0.500 0.500
Nb3 Nb 0.250 0.250 0.000
Rh1 Rh 0.000 0.500 0.000
# ΔH_f (0 K), kJ/mol of atoms: -13.6
# Total energy, eV/atom: -9.599
# Crystal system: orthorhombic


(3)
# Tb5Si2C, relaxed, DFT PBE
data_Tb5Si2C
_space_group_name_H-M_alt 'C m c m'
_space_group_IT_number 63
_space_group_name_Hall '-C 2c 2'
_cell_length_a 5.558
_cell_length_b 12.113
_cell_length_c 12.998
_cell_angle_alpha 90.00
_cell_angle_beta 90.00
_cell_angle_gamma 90.00
loop_
_atom_site_label
_atom_site_type_symbol
_atom_site_fract_x
_atom_site_fract_y
_atom_site_fract_z
Tb1 Tb 0.000 0.055 0.124
Tb2 Tb 0.000 0.298 0.750
Tb3 Tb 0.000 0.337 0.105
Si1 Si 0.000 0.175 0.566
C1 C 0.000 0.201 0.250
# Total energy, eV/atom: -5.623
# Uncorrected formation energy, eV per atom: -0.22
# Crystal system: orthorhombic


(4)
# Cs3Th3AuSe8, relaxed, DFT PBE
data_Cs3Th3AuSe8
_space_group_name_H-M_alt 'C 1 2/m 1'
_space_group_IT_number 12
_space_group_name_Hall '-C 2y'
_cell_length_a 14.352
_cell_length_b 9.215
_cell_length_c 9.438
_cell_angle_alpha 90.00
_cell_angle_beta 117.66
_cell_angle_gamma 90.00
loop_
_atom_site_label
_atom_site_type_symbol
_atom_site_fract_x
_atom_site_fract_y
_atom_site_fract_z
Cs1 Cs 0.000 0.000 0.000
Cs2 Cs 0.250 0.250 0.000
Th1 Th 0.000 0.500 0.500
Th2 Th 0.250 0.250 0.500
Au1 Au 0.000 0.000 0.500
Se1 Se 0.033 0.293 0.295
Se2 Se 0.199 0.000 0.658
Se3 Se 0.232 0.500 0.693
# Total energy, eV/atom: -5.137
# Uncorrected formation energy, eV per atom: -1.40
# Crystal system: monoclinic